Record 1
A geometry-optimized Mn2CoPt2 structure. Source: the Alexandria database, functional PBE.

Lattice parameters (Å, degrees): 7.209 7.209 2.896 90.00 90.00 90.00
Sites, in units of the cell vectors:
Mn: 0.161 0.339 0.000
Mn: 0.339 0.839 0.000
Mn: 0.661 0.161 0.000
Mn: 0.839 0.661 0.000
Co: 0.000 0.000 0.500
Co: 0.500 0.500 0.500
Pt: 0.139 0.639 0.500
Pt: 0.361 0.139 0.500
Pt: 0.639 0.861 0.500
Pt: 0.861 0.361 0.500

Results
VASP energy: -7.3660 eV/atom
E_form: 139 meV/atom
Total moment: 7.5 μB per formula unit

Record 2
A geometry-optimized MnCo3Pt structure. Source: the Alexandria database, functional PBE.

Lattice parameters (Å, degrees): 4.585 4.585 4.585 90.00 90.00 90.00
Sites, in units of the cell vectors:
Mn: 0.000 0.000 0.000
Co: 0.000 0.500 0.500
Co: 0.500 0.000 0.500
Co: 0.500 0.500 0.000
Pt: 0.500 0.500 0.500

Results
VASP energy: -6.0251 eV/atom
E_form: 1280 meV/atom
Polymorph energy (0 for the lowest one): 0.171 eV/atom
Total moment: 10.9 μB per formula unit

Q: VASP energy of number 1 (Mn2CoPt2)?
A: -7.3660 eV/atom

Repeat the first record exactly.
A geometry-optimized Mn2CoPt2 structure. Source: the Alexandria database, functional PBE.

Lattice parameters (Å, degrees): 7.209 7.209 2.896 90.00 90.00 90.00
Sites, in units of the cell vectors:
Mn: 0.161 0.339 0.000
Mn: 0.339 0.839 0.000
Mn: 0.661 0.161 0.000
Mn: 0.839 0.661 0.000
Co: 0.000 0.000 0.500
Co: 0.500 0.500 0.500
Pt: 0.139 0.639 0.500
Pt: 0.361 0.139 0.500
Pt: 0.639 0.861 0.500
Pt: 0.861 0.361 0.500

Results
VASP energy: -7.3660 eV/atom
E_form: 139 meV/atom
Total moment: 7.5 μB per formula unit

Q: The highest total moment belongs to which entry?
A: MnCo3Pt